Compound: BaMgNpO6
Source: the Alexandria database
Functional: PBE-GGA
Structure: optimized geometry

Summary:
* formation energy from raw total energies: -2.49 eV per atom
* space group: P-31c, No. 163
* total energy: -7.624 eV per atom

Lattice parameters (Å, degrees): 5.4948 5.4948 11.4944 90.00 90.00 120.00
With the nearest neighbours (Å) after each atom.
Atoms (fractional coordinates):
1 Mg 0.3333 0.6667 0.2500  6 O 2.11
2 Mg 0.6667 0.3333 0.7500  6 O 2.11
3 O 0.3703 0.9854 0.6525  1 Np 2.00, 1 Mg 2.11
4 O 0.3849 0.3703 0.3475  1 Np 2.00, 1 Mg 2.11
5 O 0.0146 0.3849 0.6525  1 Np 2.00, 1 Mg 2.11
6 O 0.3849 0.0146 0.1525  1 Np 2.00, 1 Mg 2.11
7 O 0.6151 0.6297 0.6525  1 Np 2.00, 1 Mg 2.11
8 O 0.6297 0.0146 0.3475  1 Np 2.00, 1 Mg 2.11
9 O 0.3703 0.3849 0.8475  1 Np 2.00, 1 Mg 2.11
10 O 0.9854 0.3703 0.1525  1 Np 2.00, 1 Mg 2.11
11 O 0.6297 0.6151 0.1525  1 Np 2.00, 1 Mg 2.11
12 O 0.6151 0.9854 0.8475  1 Np 2.00, 1 Mg 2.11
13 O 0.9854 0.6151 0.3475  1 Np 2.00, 1 Mg 2.11
14 O 0.0146 0.6297 0.8475  1 Np 2.00, 1 Mg 2.11
15 Np 0.6667 0.3333 0.2500  6 O 2.00
16 Np 0.3333 0.6667 0.7500  6 O 2.00
17 Ba 0.0000 0.0000 0.0000  6 O 2.72
18 Ba 0.0000 0.0000 0.5000  6 O 2.72